A plane-wave DFT calculation with PBE-GGA was carried out for HgRuRh2 after structural relaxation.

POSCAR file:
```
HgRuRh2
1.0
6.329 0.000 0.000
0.000 6.329 0.000
0.000 0.000 6.329
Hg Ru Rh
4 4 8
Cartesian
0.000 0.000 0.000 Hg
0.000 3.165 3.165 Hg
3.165 0.000 3.165 Hg
3.165 3.165 0.000 Hg
1.582 1.582 4.747 Ru
1.582 4.747 1.582 Ru
4.747 1.582 1.582 Ru
4.747 4.747 4.747 Ru
0.000 0.000 3.165 Rh
0.000 3.165 0.000 Rh
1.582 1.582 1.582 Rh
1.582 4.747 4.747 Rh
3.165 0.000 0.000 Rh
3.165 3.165 3.165 Rh
4.747 1.582 4.747 Rh
4.747 4.747 1.582 Rh
```

Summary:
- Energy relative to the elements: 0.485 eV/atom

***

A plane-wave DFT calculation with PBE-GGA was carried out for HgRuRhS after structural relaxation.

POSCAR file:
```
HgRuRhS
1.0
3.212 0.000 0.000
-1.606 2.782 0.000
0.000 0.000 21.986
Hg Ru Rh S
3 3 3 3
Cartesian
0.000 0.000 0.000 Hg
0.000 1.855 14.658 Hg
1.606 0.927 7.329 Hg
0.000 0.000 9.589 Ru
0.000 1.855 2.261 Ru
1.606 0.927 16.918 Ru
0.000 0.000 12.387 Rh
0.000 1.855 5.058 Rh
1.606 0.927 19.716 Rh
0.000 0.000 18.263 S
0.000 1.855 10.934 S
1.606 0.927 3.605 S
```

Summary:
- Relative energy among the computed polymorphs: 0.09 eV/f.u.
- Formation energy from raw total energies: -0.015 eV/atom

***

A plane-wave DFT calculation with PBE-GGA was carried out for HgRuRhS after structural relaxation.

POSCAR file:
```
HgRuRhS
1.0
7.857 0.000 0.000
0.000 3.156 0.000
-0.905 0.000 5.924
Hg Ru Rh S
2 2 2 2
Cartesian
0.000 0.000 0.000 Hg
3.929 1.578 0.000 Hg
1.323 0.000 4.138 Ru
5.251 1.578 4.138 Ru
-0.321 1.578 2.480 Rh
3.607 0.000 2.480 Rh
1.940 1.578 2.660 S
5.868 0.000 2.660 S
```

Summary:
- Relative energy among the computed polymorphs: 0.79 eV/f.u.
- Formation energy from raw total energies: 0.160 eV/atom

***

A plane-wave DFT calculation with PBE-GGA was carried out for HgRuRhS after structural relaxation.

POSCAR file:
```
HgRuRhS
1.0
6.444 0.000 0.000
0.000 3.140 0.000
-1.522 0.000 6.630
Hg Ru Rh S
2 2 2 2
Cartesian
0.000 0.000 0.000 Hg
3.222 1.570 0.000 Hg
1.161 1.570 2.154 Ru
4.383 0.000 2.154 Ru
0.512 0.000 4.521 Rh
3.734 1.570 4.521 Rh
2.429 0.000 3.245 S
5.651 1.570 3.245 S
```

Summary:
- Relative energy among the computed polymorphs: 0.37 eV/f.u.
- Formation energy from raw total energies: 0.055 eV/atom

***

A plane-wave DFT calculation with PBE-GGA was carried out for HgRuRhS after structural relaxation.

POSCAR file:
```
HgRuRhS
1.0
3.069 0.000 0.000
0.000 3.100 0.000
0.000 0.000 13.997
Hg Ru Rh S
2 2 2 2
Cartesian
0.000 0.000 0.000 Hg
1.534 1.550 6.998 Hg
0.000 1.550 9.453 Ru
1.534 0.000 2.454 Ru
0.000 0.000 5.036 Rh
1.534 1.550 12.034 Rh
0.000 1.550 3.358 S
1.534 0.000 10.356 S
```

Summary:
- Relative energy among the computed polymorphs: 0.38 eV/f.u.
- Formation energy from raw total energies: 0.058 eV/atom

***

A plane-wave DFT calculation with PBE-GGA was carried out for HgRuRhS after structural relaxation.

POSCAR file:
```
HgRuRhS
1.0
3.215 0.000 0.000
-1.607 2.784 0.000
0.000 0.000 7.319
Hg Ru Rh S
1 1 1 1
Cartesian
0.000 0.000 0.000 Hg
0.000 1.856 2.281 Ru
0.000 1.856 5.061 Rh
1.607 0.928 3.643 S
```

Summary:
- Relative energy among the computed polymorphs: 0.00 eV/f.u.
- Formation energy from raw total energies: -0.037 eV/atom